Here is a relaxed Na2V3P2O13 crystal from Alexandria. Energies are from PBE with a Hubbard U.

a = 8.319 Å, b = 10.603 Å, c = 12.257 Å
α = 90.00°, β = 90.00°, γ = 90.00°
Element x y z (fractional)
1 Na 0.893 0.724 0.534
2 Na 0.107 0.224 0.034
3 Na 0.607 0.276 0.034
4 Na 0.893 0.776 0.966
5 Na 0.607 0.224 0.466
6 Na 0.393 0.776 0.534
7 Na 0.107 0.276 0.466
8 Na 0.393 0.724 0.966
9 V 0.934 0.750 0.250
10 V 0.261 0.481 0.131
11 V 0.261 0.019 0.369
12 V 0.434 0.750 0.250
13 V 0.239 0.981 0.869
14 V 0.739 0.981 0.631
15 V 0.566 0.250 0.750
16 V 0.739 0.519 0.869
17 V 0.066 0.250 0.750
18 V 0.761 0.019 0.131
19 V 0.761 0.481 0.369
20 V 0.239 0.519 0.631
21 P 0.870 0.491 0.122
22 P 0.870 0.009 0.378
23 P 0.370 0.009 0.122
24 P 0.630 0.991 0.878
25 P 0.630 0.509 0.622
26 P 0.130 0.509 0.878
27 P 0.130 0.991 0.622
28 P 0.370 0.491 0.378
29 O 0.244 0.944 0.713
30 O 0.744 0.944 0.787
31 O 0.256 0.056 0.213
32 O 0.796 0.057 0.487
33 O 0.858 0.143 0.086
34 O 0.704 0.557 0.513
35 O 0.608 0.394 0.848
36 O 0.858 0.357 0.414
37 O 0.867 0.250 0.750
38 O 0.256 0.444 0.287
39 O 0.463 0.574 0.635
40 O 0.204 0.943 0.513
41 O 0.037 0.426 0.135
42 O 0.889 0.636 0.121
43 O 0.296 0.057 0.013
44 O 0.244 0.556 0.787
45 O 0.756 0.444 0.213
46 O 0.744 0.556 0.713
47 O 0.392 0.894 0.348
48 O 0.963 0.574 0.865
49 O 0.537 0.074 0.135
50 O 0.704 0.943 0.987
51 O 0.633 0.750 0.250
52 O 0.358 0.143 0.414
53 O 0.796 0.443 0.013
54 O 0.892 0.894 0.152
55 O 0.889 0.864 0.379
56 O 0.296 0.443 0.487
57 O 0.463 0.926 0.865
58 O 0.142 0.857 0.914
59 O 0.108 0.394 0.652
60 O 0.133 0.750 0.250
61 O 0.642 0.857 0.586
62 O 0.111 0.136 0.621
63 O 0.367 0.250 0.750
64 O 0.537 0.426 0.365
65 O 0.389 0.636 0.379
66 O 0.611 0.364 0.621
67 O 0.142 0.643 0.586
68 O 0.108 0.106 0.848
69 O 0.642 0.643 0.914
70 O 0.358 0.357 0.086
71 O 0.608 0.106 0.652
72 O 0.392 0.606 0.152
73 O 0.111 0.364 0.879
74 O 0.611 0.136 0.879
75 O 0.892 0.606 0.348
76 O 0.037 0.074 0.365
77 O 0.756 0.056 0.287
78 O 0.963 0.926 0.635
79 O 0.389 0.864 0.121
80 O 0.204 0.557 0.987

Results
**Final energy**: -567.40 eV for the cell shown
**Calculated volume**: 1081.1 Å³/cell
**Symmetry**: Pccn (56)
**Crystal system**: orthorhombic
**Magnetization**: 0.050 μB per atom